Record 1
{
  "formula": "TiSn4Pd2",
  "functional": "GGA-PBE",
  "state": "optimized geometry",
  "cell": [[-3.710, -3.604, -0.582], [2.394, -1.775, -4.267], [2.847, -6.898, 1.292]],
  "species": ["Pd", "Pd", "Sn", "Ti", "Sn", "Sn", "Sn"],
  "fractional_positions": [[0.603, 0.603, 0.794], [0.397, 0.397, 0.206], [0.000, 0.500, 0.000], [0.000, 0.000, 0.000], [0.500, 0.000, 0.000], [0.202, 0.202, 0.597], [0.798, 0.798, 0.403]],
  "e_form_ev_per_atom": 0.08
}



Record 2
{
  "formula": "Fe2AsRu",
  "functional": "GGA-PBE",
  "state": "optimized geometry",
  "cell": [[4.519, 0.012, -0.013], [-1.848, 4.124, -0.013], [0.008, 0.013, 2.830]],
  "species": ["Fe", "Ru", "As", "Fe"],
  "fractional_positions": [[0.500, 0.500, 0.000], [0.500, 0.000, 0.500], [0.000, 0.500, 0.500], [0.000, 0.000, 0.000]],
  "e_form_ev_per_atom": 0.13
}



Record 3
{
  "formula": "SrCd3Rh2",
  "functional": "GGA-PBE",
  "state": "optimized geometry",
  "cell": [[-3.326, 1.627, 2.508], [-2.296, -7.749, -2.005], [5.435, 0.717, 6.742]],
  "species": ["Sr", "Cd", "Sr", "Cd", "Cd", "Cd", "Rh", "Cd", "Rh", "Rh", "Cd", "Rh"],
  "fractional_positions": [[0.856, 0.712, 0.908], [0.980, 0.961, 0.654], [0.144, 0.288, 0.092], [0.380, 0.759, 0.253], [0.678, 0.357, 0.454], [0.020, 0.039, 0.346], [0.485, 0.969, 0.848], [0.322, 0.643, 0.546], [0.183, 0.366, 0.657], [0.515, 0.031, 0.152], [0.620, 0.241, 0.747], [0.817, 0.634, 0.343]],
  "e_form_ev_per_atom": -0.17
}



Record 4
{
  "formula": "SrNi2Pd",
  "functional": "GGA-PBE",
  "state": "optimized geometry",
  "cell": [[-0.114, -0.289, 4.568], [-2.604, 2.892, 2.413], [-3.770, -1.526, 2.104]],
  "species": ["Ni", "Sr", "Ni", "Pd"],
  "fractional_positions": [[0.250, 0.250, 0.250], [0.000, 0.000, 0.000], [0.750, 0.750, 0.750], [0.500, 0.500, 0.500]],
  "de_polymorph_ev_per_atom": 0.1160,
  "e_form_ev_per_atom": 0.21
}



Record 5
{
  "formula": "Nd3OsN4",
  "functional": "GGA-PBE",
  "state": "optimized geometry",
  "cell": [[5.359, 0.000, 0.000], [0.000, 6.808, 0.000], [0.000, 0.000, 7.698]],
  "species": ["Nd", "N", "N", "Os", "Nd", "N", "N", "Nd", "N", "Nd", "Os", "N", "Nd", "Nd", "N", "N"],
  "fractional_positions": [[0.039, 0.670, 0.252], [0.557, 0.110, 0.500], [0.053, 0.311, 0.226], [0.066, 0.176, 0.000], [0.042, 0.134, 0.500], [0.667, 0.187, 0.000], [0.167, 0.813, 0.500], [0.539, 0.330, 0.752], [0.553, 0.689, 0.274], [0.539, 0.330, 0.248], [0.566, 0.824, 0.500], [0.553, 0.689, 0.726], [0.039, 0.670, 0.748], [0.542, 0.866, 0.000], [0.057, 0.890, 0.000], [0.053, 0.311, 0.774]],
  "formation_energy_uncorrected_kj_per_mol_atoms": -66.9
}



Record 6
{
  "formula": "TmSi2Ir5",
  "functional": "GGA-PBE",
  "state": "optimized geometry",
  "cell": [[-2.848, -2.575, 0.242], [0.684, -3.129, 5.334], [-3.930, 1.889, 4.439]],
  "species": ["Ir", "Ir", "Tm", "Ir", "Si", "Si", "Ir", "Ir"],
  "fractional_positions": [[0.643, 0.155, 0.560], [0.357, 0.440, 0.845], [0.000, 0.000, 0.000], [0.643, 0.560, 0.155], [0.246, 0.254, 0.254], [0.754, 0.746, 0.746], [0.357, 0.845, 0.440], [0.000, 0.500, 0.500]],
  "formation_energy_uncorrected_kj_per_mol_atoms": -65.2
}



no.,N(E_F) (states/eV/atom),VASP energy (eV per formula unit)
1,0.52,-33.76
2,1.10,-30.35
3,0.49,-20.17
4,0.50,-17.58
5,0.34,-64.38
6,0.80,-65.03